PBE Tm2GaPt5, optimized geometry; D(E_F) = 9.15 states/eV/cell; crystal system = orthorhombic; mass density = 16.53 Mg/m³; E_form = -1.05 eV/atom
1.0
5.786 0.000 0.000
0.000 11.580 0.000
0.000 0.000 4.147
Tm Ga Pt
4 2 10
direct
0.202 0.138 0.000
0.298 0.638 0.000
0.702 0.362 0.000
0.798 0.862 0.000
0.000 0.500 0.500
0.500 0.000 0.500
0.000 0.000 0.500
0.046 0.748 0.500
0.203 0.390 0.000
0.297 0.890 0.000
0.454 0.248 0.500
0.500 0.500 0.500
0.546 0.752 0.500
0.703 0.110 0.000
0.797 0.610 0.000
0.954 0.252 0.500


PBE Tm2Ga3Pt5, optimized geometry; D(E_F) = 7.56 states/eV/cell; crystal system = orthorhombic; mass density = 14.45 Mg/m³; E_form = -0.98 eV/atom
1.0
2.068 -12.444 0.000
2.068 12.444 0.000
0.000 0.000 6.798
Tm Ga Pt
4 6 10
direct
0.026 0.974 0.500
0.323 0.677 0.445
0.677 0.323 0.945
0.974 0.026 0.000
0.124 0.876 0.263
0.285 0.715 0.902
0.459 0.541 0.310
0.541 0.459 0.810
0.715 0.285 0.402
0.876 0.124 0.763
0.098 0.902 0.864
0.195 0.805 0.642
0.225 0.775 0.198
0.384 0.616 0.041
0.445 0.555 0.681
0.555 0.445 0.181
0.616 0.384 0.541
0.775 0.225 0.698
0.805 0.195 0.142
0.902 0.098 0.364


PBE TmGaPt5, optimized geometry; D(E_F) = 4.32 states/eV/cell; crystal system = tetragonal; mass density = 16.80 Mg/m³; E_form = -0.81 eV/atom
1.0
4.048 0.000 0.000
0.000 4.048 0.000
0.000 0.000 7.320
Tm Ga Pt
1 1 5
direct
0.000 0.000 0.000
0.500 0.500 0.500
0.000 0.500 0.286
0.000 0.500 0.714
0.500 0.000 0.286
0.500 0.000 0.714
0.500 0.500 0.000


PBE TmGa6Pt3, optimized geometry; D(E_F) = 5.42 states/eV/cell; crystal system = monoclinic; mass density = 10.82 Mg/m³; E_form = -0.62 eV/atom
1.0
8.103 0.000 0.000
0.000 4.122 0.000
-1.184 0.000 10.777
Tm Ga Pt
2 12 6
direct
0.003 0.250 0.225
0.997 0.750 0.775
0.054 0.750 0.428
0.198 0.250 0.938
0.256 0.250 0.691
0.353 0.250 0.234
0.412 0.750 0.556
0.445 0.750 0.086
0.555 0.250 0.914
0.588 0.250 0.444
0.647 0.750 0.766
0.744 0.750 0.309
0.802 0.750 0.062
0.946 0.250 0.572
0.127 0.750 0.062
0.256 0.250 0.452
0.360 0.750 0.840
0.640 0.250 0.160
0.744 0.750 0.548
0.873 0.250 0.938


PBE Tm7Ga2Pt2, optimized geometry; D(E_F) = 9.28 states/eV/cell; crystal system = orthorhombic; mass density = 9.74 Mg/m³; E_form = -0.57 eV/atom
1.0
3.938 -5.349 0.000
3.938 5.349 0.000
0.000 0.000 6.924
Tm Ga Pt
7 2 2
direct
0.000 0.000 0.000
0.000 0.500 0.262
0.000 0.500 0.738
0.500 0.000 0.262
0.500 0.000 0.738
0.500 0.500 0.255
0.500 0.500 0.745
0.168 0.168 0.500
0.832 0.832 0.500
0.289 0.711 0.000
0.711 0.289 0.000


PBE Tm5Ga2Pt, optimized geometry; D(E_F) = 15.19 states/eV/cell; crystal system = tetragonal; mass density = 10.21 Mg/m³; E_form = -0.67 eV/atom
1.0
-3.639 3.639 7.240
3.639 -3.639 7.240
3.639 3.639 -7.240
Tm Ga Pt
10 4 2
direct
0.000 0.000 0.000
0.022 0.522 0.844
0.178 0.022 0.500
0.322 0.822 0.844
0.478 0.322 0.500
0.500 0.500 0.000
0.522 0.678 0.500
0.678 0.178 0.156
0.822 0.978 0.500
0.978 0.478 0.156
0.122 0.378 0.500
0.378 0.878 0.255
0.622 0.122 0.745
0.878 0.622 0.500
0.250 0.250 0.000
0.750 0.750 0.000


PBE TmGa3Pt3, optimized geometry; D(E_F) = 8.22 states/eV/cell; crystal system = cubic; mass density = 10.09 Mg/m³; E_form = -0.31 eV/atom
1.0
6.820 0.000 0.000
0.000 6.820 0.000
0.000 0.000 6.820
Tm Ga Pt
2 6 6
direct
0.000 0.000 0.000
0.500 0.500 0.500
0.000 0.250 0.500
0.000 0.750 0.500
0.250 0.500 0.000
0.500 0.000 0.250
0.500 0.000 0.750
0.750 0.500 0.000
0.000 0.500 0.250
0.000 0.500 0.750
0.250 0.000 0.500
0.500 0.250 0.000
0.500 0.750 0.000
0.750 0.000 0.500


PBE TmGa2Pt3, optimized geometry; D(E_F) = 7.53 states/eV/cell; crystal system = monoclinic; mass density = 13.89 Mg/m³; E_form = -0.89 eV/atom
1.0
8.434 -2.013 0.000
8.434 2.013 0.000
-2.853 0.000 9.441
Tm Ga Pt
3 6 9
direct
0.000 0.000 0.000
0.167 0.167 0.712
0.833 0.833 0.288
0.190 0.190 0.123
0.362 0.362 0.546
0.458 0.458 0.219
0.542 0.542 0.781
0.638 0.638 0.454
0.810 0.810 0.877
0.040 0.040 0.330
0.219 0.219 0.390
0.321 0.321 0.051
0.389 0.389 0.815
0.500 0.500 0.500
0.611 0.611 0.185
0.679 0.679 0.949
0.781 0.781 0.610
0.960 0.960 0.670